[1]
A relaxed HoLuZnAg crystal, computed with PBE.

Output
The symmetry is F-43m, No. 216. Its formation energy from the elements is -333 meV/atom. Its crystal system is cubic. The density comes out at 9.4 Mg/m³. For the total moment, the calculation gives 0.00 μB/f.u.

Cell: 5.036 5.036 5.036 Å, 60.00 60.00 60.00°
Positions (direct):
Lu 0.500 0.500 0.500
Zn 0.750 0.750 0.750
Ho 0.000 0.000 0.000
Ag 0.250 0.250 0.250

[2]
A relaxed Pm2ScZn2Pt5 crystal, computed with PBE.

Output
The symmetry is P4/mbm, No. 127. Its formation energy from the elements is -947 meV/atom. Its crystal system is tetragonal. The density comes out at 12.9 Mg/m³. For the total moment, the calculation gives 0.00 μB/f.u.

Cell: 3.858 9.815 9.815 Å, 90.00 90.00 90.00°
Positions (direct):
Pm 0.000 0.824 0.676
Pm 0.000 0.176 0.324
Pm 0.000 0.324 0.824
Pm 0.000 0.676 0.176
Zn 0.000 0.621 0.879
Zn 0.000 0.121 0.621
Zn 0.000 0.879 0.379
Zn 0.000 0.379 0.121
Pt 0.500 0.000 0.500
Pt 0.500 0.207 0.065
Pt 0.500 0.065 0.793
Pt 0.500 0.500 0.000
Pt 0.500 0.435 0.293
Pt 0.500 0.793 0.935
Pt 0.500 0.293 0.565
Pt 0.500 0.707 0.435
Pt 0.500 0.565 0.707
Pt 0.500 0.935 0.207
Sc 0.000 0.500 0.500
Sc 0.000 0.000 0.000

[3]
A relaxed SbRuPb2 crystal, computed with PBE.

Output
The value obtained for the formation energy without anion corrections is 596 meV/atom. The symmetry is P4/mmm, No. 123. Its crystal system is tetragonal. The density comes out at 10.8 Mg/m³. For the total moment, the calculation gives 1.01 μB/f.u.

Cell: 4.954 4.954 3.977 Å, 90.00 90.00 90.00°
Last column: magnetic moment on the atom in μB.
Positions (direct):
Pb 0.000 0.000 0.000  0.01
Pb 0.500 0.500 0.000  0.01
Sb 0.000 0.500 0.500  0.00
Ru 0.500 0.000 0.500  0.94

[4]
A relaxed MnCdNi3 crystal, computed with PBE.

Output
For the relative energy among the computed polymorphs, the calculation gives 0 meV/atom. The symmetry is Pm-3m, No. 221. Its formation energy from the elements is 857 meV/atom. Its crystal system is cubic. The density comes out at 6.9 Mg/m³. For the total moment, the calculation gives 4.70 μB/f.u.

Cell: 4.352 4.352 4.352 Å, 90.00 90.00 90.00°
Last column: magnetic moment on the atom in μB.
Positions (direct):
Mn 0.000 0.000 0.000  3.00
Ni 0.000 0.000 0.500  0.72
Ni 0.500 0.000 0.000  0.38
Ni 0.000 0.500 0.000  0.59
Cd 0.500 0.500 0.500  -0.01

[5]
A relaxed Li2CoNi crystal, computed with PBE.

Output
For the relative energy among the computed polymorphs, the calculation gives 149 meV/atom. The symmetry is P4/mmm, No. 123. Its formation energy from the elements is 176 meV/atom. Its crystal system is tetragonal. The density comes out at 4.6 Mg/m³. For the total moment, the calculation gives 1.79 μB/f.u.

Cell: 4.086 3.408 3.408 Å, 90.00 90.00 90.00°
Last column: magnetic moment on the atom in μB.
Positions (direct):
Co 0.500 0.000 0.500  1.53
Ni 0.500 0.500 0.000  0.57
Li 0.000 0.500 0.500  -0.05
Li 0.000 0.000 0.000  -0.05

[6]
A relaxed ScCo2Ir crystal, computed with PBE.

Output
The symmetry is Cmmm, No. 65. Its formation energy from the elements is -188 meV/atom. Its crystal system is orthorhombic. The density comes out at 11.0 Mg/m³. For the total moment, the calculation gives 0.00 μB/f.u.

Cell: 4.463 4.463 2.775 Å, 90.00 90.00 105.12°
Positions (direct):
Sc 0.000 0.500 0.500
Ir 0.500 0.000 0.500
Co 0.000 0.000 0.000
Co 0.500 0.500 0.000

[7]
A relaxed CaAc2Zn4In3 crystal, computed with PBE.

Output
The symmetry is P-4m2, No. 115. Its formation energy from the elements is -321 meV/atom. Its crystal system is tetragonal. The density comes out at 7.0 Mg/m³. For the total moment, the calculation gives 0.00 μB/f.u.

Cell: 4.706 4.706 11.774 Å, 90.00 90.00 90.00°
Positions (direct):
Zn 0.500 0.000 0.652
Zn 0.500 0.500 0.000
Zn 0.000 0.500 0.348
Zn 0.000 0.000 0.000
In 0.500 0.000 0.877
In 0.000 0.500 0.123
In 0.000 0.000 0.500
Ac 0.000 0.500 0.777
Ac 0.500 0.000 0.223
Ca 0.500 0.500 0.500

[8]
A relaxed La2Sm2In crystal, computed with PBE.

Output
For the relative energy among the computed polymorphs, the calculation gives 92 meV/atom. The symmetry is P4/mbm, No. 127. Its formation energy from the elements is -70 meV/atom. Its crystal system is tetragonal. The density comes out at 6.8 Mg/m³. For the total moment, the calculation gives 0.00 μB/f.u.

Cell: 4.792 8.392 8.392 Å, 90.00 90.00 90.00°
Positions (direct):
La 0.500 0.842 0.342
La 0.500 0.658 0.842
La 0.500 0.158 0.658
La 0.500 0.342 0.158
Sm 0.000 0.852 0.648
Sm 0.000 0.352 0.852
Sm 0.000 0.148 0.352
Sm 0.000 0.648 0.148
In 0.000 0.000 0.000
In 0.000 0.500 0.500

[9]
A relaxed Cd2TcH crystal, computed with PBE.

Output
For the relative energy among the computed polymorphs, the calculation gives 0 meV/atom. The symmetry is I-42d, No. 122. Its crystal system is tetragonal. The density comes out at 7.8 Mg/m³. For the total moment, the calculation gives 1.37 μB/f.u.

Cell: 9.049 9.049 6.617 Å, 46.86 46.86 90.00°
Last column: magnetic moment on the atom in μB.
Positions (direct):
H 0.250 0.750 0.500  -0.01
H 0.500 0.500 0.000  -0.01
Cd 0.875 0.732 0.750  -0.01
Cd 0.375 0.518 0.750  -0.01
Cd 0.482 0.125 0.250  0.00
Cd 0.268 0.625 0.250  -0.01
Tc 0.000 0.000 0.000  1.27
Tc 0.750 0.250 0.500  1.26

[10]
A relaxed PmNiH crystal, computed with PBE.

Output
For the relative energy among the computed polymorphs, the calculation gives 0 meV/atom. The symmetry is P2_1/m, No. 11. Its crystal system is monoclinic. The density comes out at 7.5 Mg/m³. For the total moment, the calculation gives 0.00 μB/f.u.

Cell: 3.924 4.502 5.358 Å, 90.00 72.98 89.99°
Positions (direct):
H 0.636 0.216 0.031
H 0.988 0.716 0.762
Pm 0.457 0.716 0.113
Pm 0.166 0.216 0.680
Ni 0.827 0.217 0.275
Ni 0.797 0.717 0.518

[11]
A relaxed NaV crystal, computed with PBE.

Output
For the relative energy among the computed polymorphs, the calculation gives 823 meV/atom. The symmetry is I-43m, No. 217. Its formation energy from the elements is 1310 meV/atom. Its crystal system is cubic. The density comes out at 1.2 Mg/m³. For the total moment, the calculation gives 0.33 μB/f.u.

Cell: 9.264 9.264 9.264 Å, 90.00 90.00 90.00°
Last column: magnetic moment on the atom in μB.
Positions (direct):
V 0.914 0.914 0.914  0.17
V 0.586 0.586 0.414  0.17
V 0.586 0.414 0.586  0.17
V 0.414 0.414 0.414  0.17
V 0.914 0.086 0.086  0.17
V 0.086 0.914 0.086  0.17
V 0.086 0.086 0.914  0.17
V 0.414 0.586 0.586  0.17
Na 0.712 0.288 0.288  0.01
Na 0.288 0.712 0.288  0.01
Na 0.212 0.788 0.788  0.01
Na 0.712 0.712 0.712  0.01
Na 0.788 0.788 0.212  0.01
Na 0.288 0.288 0.712  0.01
Na 0.212 0.212 0.212  0.01
Na 0.788 0.212 0.788  0.01

[12]
A relaxed HoScGe crystal, computed with PBE.

Output
For the relative energy among the computed polymorphs, the calculation gives 0 meV/atom. The symmetry is P-62m, No. 189. Its formation energy from the elements is -705 meV/atom. Its crystal system is hexagonal. The density comes out at 6.9 Mg/m³. For the total moment, the calculation gives 0.89 μB/f.u.

Cell: 4.118 7.590 7.590 Å, 120.00 90.00 90.00°
Last column: magnetic moment on the atom in μB.
Positions (direct):
Ho 0.500 0.406 0.406  0.27
Ho 0.500 0.594 0.000  0.27
Ho 0.500 0.000 0.594  0.27
Sc 0.000 0.254 0.000  0.31
Sc 0.000 0.000 0.254  0.31
Sc 0.000 0.746 0.746  0.31
Ge 0.500 0.000 0.000  -0.02
Ge 0.000 0.667 0.333  -0.01
Ge 0.000 0.333 0.667  -0.01

Among the records above, which one has the lowest density?
NaV